Entry from the Alexandria database: crystalline SbAsRh at its relaxed geometry (GGA-PBE).

Offset from the most stable computed form ... 0.296 eV/atom

a = 3.5645 Å, b = 3.5645 Å, c = 5.4693 Å
α = 90.00°, β = 90.00°, γ = 120.00°
Closest atoms and distances in Å follow each position.
Fractional positions:
As 0.0000 0.0000 0.0563  3 Rh 2.48
Sb 0.3333 0.6667 0.6344  3 Rh 2.72
Rh 0.6667 0.3333 0.3093  3 As 2.48, 3 Sb 2.72

=====

Entry from the Alexandria database: crystalline SbAsRh2 at its relaxed geometry (GGA-PBE).

Total energy ... -24.61 eV per cell

a = 4.7266 Å, b = 4.7266 Å, c = 4.8348 Å
α = 77.67°, β = 77.67°, γ = 42.04°
Closest atoms and distances in Å follow each position.
Fractional positions:
Sb 0.5032 0.5032 0.4477  5 Rh 2.67-2.85
As 0.7381 0.7381 0.8753  5 Rh 2.52-2.55
Rh 0.2407 0.2407 0.2632  2 As 2.53, 3 Sb 2.67-2.69
Rh 0.0180 0.0180 0.9138  3 As 2.52-2.55

=====

Entry from the Alexandria database: crystalline SbAs3Rh at its relaxed geometry (GGA-PBE).

Offset from the most stable computed form ... 0.000 eV/atom

a = 4.8471 Å, b = 4.8471 Å, c = 4.8471 Å
α = 90.00°, β = 90.00°, γ = 90.00°
Closest atoms and distances in Å follow each position.
Fractional positions:
As 0.0000 0.5000 0.0000  2 Rh 2.42
As 0.0000 0.0000 0.5000  2 Rh 2.42
Rh 0.0000 0.0000 0.0000  6 As 2.42
As 0.5000 0.0000 0.0000  2 Rh 2.42
Sb 0.5000 0.5000 0.5000  12 As 3.43

=====

Entry from the Alexandria database: crystalline SbAs2Rh at its relaxed geometry (GGA-PBE).

Total energy ... -20.98 eV per cell

a = 3.0823 Å, b = 3.0821 Å, c = 8.4102 Å
α = 90.00°, β = 90.00°, γ = 90.00°
Closest atoms and distances in Å follow each position.
Fractional positions:
Rh 0.5000 0.5000 0.2500  8 As 2.66
As 0.0000 0.0000 0.0680  4 Rh 2.66
Sb 0.5000 0.5000 0.7500  4 Sb 3.08, 8 As 3.45
As 0.0000 0.0000 0.4320  4 Rh 2.66

=====

Entry from the Alexandria database: crystalline SbAsRh2 at its relaxed geometry (GGA-PBE).

Total energy ... -24.24 eV per cell

a = 3.1146 Å, b = 3.1146 Å, c = 7.8423 Å
α = 90.00°, β = 90.00°, γ = 90.01°
Closest atoms and distances in Å follow each position.
Fractional positions:
Rh 0.5000 0.5000 0.2371  4 Sb 2.69, 4 Rh 2.91
As 0.5000 0.5000 0.8338  4 Rh 2.54
Sb 0.0000 0.0000 0.4344  4 Rh 2.69
Rh 0.0000 0.0000 0.9946  4 As 2.54

=====

Entry from the Alexandria database: crystalline Sb2AsRh2 at its relaxed geometry (GGA-PBE).

Total energy ... -56.17 eV per cell

a = 7.6688 Å, b = 7.6688 Å, c = 3.2409 Å
α = 90.00°, β = 90.00°, γ = 90.00°
Closest atoms and distances in Å follow each position.
Fractional positions:
Sb 0.8444 0.3444 0.5000  6 Rh 2.77-2.78
Sb 0.1556 0.6556 0.5000  6 Rh 2.77-2.78
Rh 0.3634 0.8634 0.0000  6 Sb 2.77-2.78, 1 Rh 2.96, 2 As 2.98
Rh 0.6366 0.1366 0.0000  6 Sb 2.77-2.78, 1 Rh 2.96, 2 As 2.98
As 0.5000 0.5000 0.0000  4 Rh 2.98, 2 As 3.24, 8 Sb 3.32
Sb 0.3444 0.1556 0.5000  6 Rh 2.77-2.78
Rh 0.8634 0.6366 0.0000  6 Sb 2.77-2.78, 1 Rh 2.96, 2 As 2.98
Sb 0.6556 0.8444 0.5000  6 Rh 2.77-2.78
Rh 0.1366 0.3634 0.0000  6 Sb 2.77-2.78, 1 Rh 2.96, 2 As 2.98
As 0.0000 0.0000 0.0000  4 Rh 2.98, 2 As 3.24, 8 Sb 3.32

=====

Entry from the Alexandria database: crystalline SbAsRh2 at its relaxed geometry (GGA-PBE).

Total energy ... -22.62 eV per cell

a = 4.6016 Å, b = 4.6016 Å, c = 4.6016 Å
α = 60.00°, β = 60.00°, γ = 60.00°
Closest atoms and distances in Å follow each position.
Fractional positions:
As 0.5000 0.5000 0.5000  4 Sb 2.82, 4 Rh 2.82
Rh 0.2500 0.2500 0.2500  4 As 2.82, 4 Rh 2.82
Rh 0.0000 0.0000 0.0000  4 Sb 2.82, 4 Rh 2.82
Sb 0.7500 0.7500 0.7500  4 As 2.82, 4 Rh 2.82

=====

Entry from the Alexandria database: crystalline SbAsRh2 at its relaxed geometry (GGA-PBE).

Total energy ... -23.86 eV per cell

a = 5.3015 Å, b = 5.3015 Å, c = 5.3015 Å
α = 137.45°, β = 137.45°, γ = 61.75°
Closest atoms and distances in Å follow each position.
Fractional positions:
As 0.7500 0.2500 0.5000  8 Rh 2.72-2.98, 4 Sb 2.98
Rh 0.2500 0.7500 0.5000  4 As 2.72, 4 Rh 2.98, 4 Sb 2.98
Rh 0.0000 0.0000 0.0000  4 Sb 2.72, 4 As 2.98, 4 Rh 2.98
Sb 0.5000 0.5000 0.0000  8 Rh 2.72-2.98, 4 As 2.98

=====

Entry from the Alexandria database: crystalline SbAsRh2 at its relaxed geometry (GGA-PBE).

Total energy ... -24.63 eV per cell

a = 4.8041 Å, b = 3.2085 Å, c = 4.4898 Å
α = 90.01°, β = 90.00°, γ = 90.00°
Closest atoms and distances in Å follow each position.
Fractional positions:
Rh 0.0000 0.8751 0.9883  2 As 2.55, 4 Sb 2.75-2.77
As 0.5000 0.8749 0.7998  4 Rh 2.50-2.55
Rh 0.5000 0.3751 0.2255  2 As 2.50, 2 Sb 2.67
Sb 0.0000 0.3749 0.4863  6 Rh 2.67-2.77

=====

Entry from the Alexandria database: crystalline SbAsRh2 at its relaxed geometry (GGA-PBE).

Total energy ... -48.51 eV per cell

a = 4.3398 Å, b = 4.3398 Å, c = 8.6031 Å
α = 75.39°, β = 75.39°, γ = 90.00°
Closest atoms and distances in Å follow each position.
Fractional positions:
Rh 0.5958 0.1250 0.2500  2 As 2.48, 2 Sb 2.58
Rh 0.3750 0.4042 0.7500  2 As 2.48, 2 Sb 2.58
Sb 0.7500 0.2500 0.5000  4 Rh 2.58
Rh 0.1542 0.6250 0.2500  2 As 2.48, 2 Sb 2.58
Sb 0.0000 0.0000 0.0000  4 Rh 2.58
As 0.5000 0.5000 0.0000  4 Rh 2.48
As 0.2500 0.7500 0.5000  4 Rh 2.48
Rh 0.8750 0.8458 0.7500  2 As 2.48, 2 Sb 2.58

=====

Entry from the Alexandria database: crystalline SbAs2Rh at its relaxed geometry (GGA-PBE).

Total energy ... -19.81 eV per cell

a = 4.7617 Å, b = 4.7617 Å, c = 3.4953 Å
α = 90.00°, β = 90.00°, γ = 105.33°
Closest atoms and distances in Å follow each position.
Fractional positions:
As 0.0000 0.0000 0.0000  2 As 2.89, 4 Rh 2.95, 4 Sb 2.95
As 0.5000 0.5000 0.0000  2 As 2.89, 4 Sb 2.95, 4 Rh 2.95
Sb 0.0000 0.5000 0.5000  2 Rh 2.89, 8 As 2.95
Rh 0.5000 0.0000 0.5000  2 Sb 2.89, 8 As 2.95

=====

Entry from the Alexandria database: crystalline SbAs2Rh2 at its relaxed geometry (GGA-PBE).

Offset from the most stable computed form ... 0.064 eV/atom

a = 3.9887 Å, b = 3.9887 Å, c = 6.5298 Å
α = 72.22°, β = 72.22°, γ = 90.00°
Closest atoms and distances in Å follow each position.
Fractional positions:
Rh 0.6183 0.6183 0.7634  4 As 2.53, 1 Rh 2.79
Rh 0.3817 0.3817 0.2366  4 As 2.53, 1 Rh 2.79
Sb 0.0000 0.0000 0.0000  8 Rh 3.15
As 0.7500 0.2500 0.5000  4 Rh 2.53, 4 As 2.82
As 0.2500 0.7500 0.5000  4 Rh 2.53, 4 As 2.82